No. 1
Compound: TbSm3Y
Source: the Alexandria database
Functional: PBE-GGA
Structure: relaxed

The space group is P2_1/m (No. 11) and the conventional cell measures 6.332, 5.773 and 9.682 Å, with angles of 90.00, 109.01 and 90.00 degrees. Symmetry generates all atoms from Tb at (0.235, 0.250, 0.298), Sm at (0.030, 0.250, 0.899), Sm at (0.165, 0.750, 0.499), Sm at (0.431, 0.250, 0.699) and Y at (0.365, 0.750, 0.900).

Its formation energy is 17 meV per atom. The excess energy over the best structure of this formula in the dataset comes out at 0.003 eV per atom.



No. 2
Compound: Tb5SmY2
Source: the Alexandria database
Functional: PBE-GGA
Structure: relaxed

The space group is Pbam (No. 55) and the conventional cell measures 7.151, 14.302 and 5.043 Å, with angles of 90.00, 90.00 and 90.00 degrees. Symmetry generates all atoms from Tb at (0.000, 0.000, 0.000), Tb at (0.000, 0.250, 0.000), Tb at (0.249, 0.125, 0.500), Sm at (0.000, 0.500, 0.000) and Y at (0.250, 0.375, 0.500).

Its formation energy is 16 meV per atom. The excess energy over the best structure of this formula in the dataset comes out at 0.000 eV per atom.



No. 3
Compound: Tb3SmY7
Source: the Alexandria database
Functional: PBE-GGA
Structure: relaxed

The space group is P2/m (No. 10) and the conventional cell measures 6.934, 5.564 and 10.028 Å, with angles of 90.00, 109.65 and 90.00 degrees. Symmetry generates all atoms from Tb at (0.000, 0.000, 0.000), Tb at (0.221, 0.500, 0.502), Sm at (0.500, 0.000, 0.000), Y at (0.079, 0.000, 0.670), Y at (0.180, 0.500, 0.861), Y at (0.353, 0.500, 0.212) and Y at (0.500, 0.000, 0.500).

Its formation energy is 144 meV per atom. The excess energy over the best structure of this formula in the dataset comes out at 0.000 eV per atom.



No. 4
Compound: Tb4Sm4Y3
Source: the Alexandria database
Functional: PBE-GGA
Structure: relaxed

The space group is Amm2 (No. 38) and the conventional cell measures 10.598, 5.702 and 12.119 Å, with angles of 90.00, 90.00 and 90.00 degrees. Symmetry generates all atoms from Tb at (0.000, 0.000, 0.000), Tb at (0.201, 0.000, 0.485), Tb at (0.500, 0.000, 0.931), Sm at (0.000, 0.000, 0.270), Sm at (0.293, 0.000, 0.136), Sm at (0.500, 0.000, 0.341), Y at (0.207, 0.000, 0.790) and Y at (0.500, 0.000, 0.635).

Its formation energy is 142 meV per atom. The excess energy over the best structure of this formula in the dataset comes out at 0.126 eV per atom.